Entry from Alexandria via LeMat-Bulk: crystalline AcPm2DyY5 at its relaxed geometry (PBE).

Lattice parameters (Å, degrees): 8.805 8.805 15.844 90.00 90.00 90.00
Space group I4/mcm (No. 140)
Symmetry-distinct sites (fractional):
Ac 0.000 0.500 0.250 [4 per cell]
Pm 0.115 0.385 0.000 [8 per cell]
Dy 0.000 0.000 0.250 [4 per cell]
Y 0.000 0.000 0.000 [4 per cell]
Y 0.212 0.288 0.367 [16 per cell]

N(E_F) = 41.429 states/eV per cell
calculated total energy = -192.613 eV for the cell shown
formation energy = 0.264 eV per atom

=====

Entry from Alexandria via LeMat-Bulk: crystalline Tm2Sc4Ge3H2 at its relaxed geometry (PBE).

Lattice parameters (Å, degrees): 4.276 4.276 22.439 90.00 90.00 90.00
Space group I4/mmm (No. 139)
Symmetry-distinct sites (fractional):
Tm 0.000 0.000 0.199 [4 per cell]
Sc 0.000 0.500 0.079 [8 per cell]
Ge 0.000 0.000 0.330 [4 per cell]
Ge 0.000 0.000 0.500 [2 per cell]
H 0.000 0.000 0.096 [4 per cell]

N(E_F) = 15.909 states/eV per cell
calculated total energy = -124.512 eV for the cell shown